{
  "formula": "In4Hg5S",
  "functional": "GGA-PBE",
  "state": "relaxed",
  "lattice_angstrom": [[3.882, 0.000, -0.854], [0.007, 8.385, 0.030], [-0.138, -0.008, 8.624]],
  "species": ["In", "Hg", "Hg", "Hg", "In", "Hg", "In", "In", "Hg", "S"],
  "fractional_positions": [[0.330, 0.001, 0.661], [0.177, 0.681, 0.354], [0.823, 0.319, 0.646], [0.500, 0.500, 0.000], [0.000, 0.234, 0.000], [0.177, 0.317, 0.354], [0.670, 0.999, 0.339], [0.000, 0.766, 0.000], [0.823, 0.683, 0.646], [0.500, 0.000, 0.000]],
  "e_tot_ha_per_atom": -0.06251,
  "magmom_total_mub_per_cell": 0.00
}


{
  "formula": "InHg2S3",
  "functional": "GGA-PBE",
  "state": "relaxed",
  "lattice_angstrom": [[4.307, 0.000, 0.000], [0.000, 6.099, 0.000], [-2.153, -3.049, 6.421]],
  "species": ["S", "S", "Hg", "Hg", "S", "In"],
  "fractional_positions": [[0.338, 0.330, 0.675], [0.000, 0.015, 0.000], [0.832, 0.577, 0.665], [0.168, 0.913, 0.335], [0.662, 0.655, 0.325], [0.500, 0.253, 0.000]],
  "e_tot_ha_per_atom": -0.10387,
  "magmom_total_mub_per_cell": 0.00
}


{
  "formula": "InHgS2",
  "functional": "GGA-PBE",
  "state": "relaxed",
  "lattice_angstrom": [[-3.950, 4.548, 2.767], [-4.191, -5.752, 3.473], [4.789, 0.321, 6.309]],
  "species": ["S", "S", "In", "Hg", "Hg", "S", "In", "In", "S", "Hg", "In", "S", "S", "S", "Hg", "S"],
  "fractional_positions": [[0.999, 0.731, 0.918], [0.498, 0.394, 0.918], [0.748, 0.562, 0.750], [0.001, 0.563, 0.250], [0.501, 0.563, 0.250], [0.501, 0.231, 0.418], [0.252, 0.062, 0.250], [0.752, 0.062, 0.250], [0.998, 0.394, 0.582], [0.499, 0.063, 0.750], [0.248, 0.562, 0.750], [0.499, 0.731, 0.582], [0.502, 0.894, 0.082], [0.001, 0.231, 0.082], [0.999, 0.063, 0.750], [0.002, 0.894, 0.418]],
  "e_tot_ha_per_atom": -0.11328,
  "magmom_total_mub_per_cell": 0.00
}


{
  "formula": "InHgS4",
  "functional": "GGA-PBE",
  "state": "relaxed",
  "lattice_angstrom": [[7.502, 0.818, -2.053], [-2.613, 4.397, -1.610], [-0.847, 1.007, 9.109]],
  "species": ["S", "S", "Hg", "S", "In", "S", "In", "S", "S", "S", "S", "Hg"],
  "fractional_positions": [[0.349, 0.209, 0.299], [0.312, 0.421, 0.134], [0.606, 0.856, 0.211], [0.688, 0.579, 0.866], [0.254, 0.504, 0.507], [0.950, 0.590, 0.299], [0.746, 0.496, 0.493], [0.050, 0.410, 0.701], [0.179, 0.787, 0.866], [0.821, 0.213, 0.134], [0.651, 0.791, 0.701], [0.394, 0.144, 0.789]],
  "e_tot_ha_per_atom": -0.11882,
  "magmom_total_mub_per_cell": 0.00
}


{
  "formula": "InHgS",
  "functional": "GGA-PBE",
  "state": "relaxed",
  "lattice_angstrom": [[3.558, 0.000, 0.000], [0.000, 3.558, 0.000], [-1.779, -1.779, 6.061]],
  "species": ["Hg", "S", "In"],
  "fractional_positions": [[0.003, 0.003, 0.007], [0.291, 0.291, 0.583], [0.705, 0.705, 0.410]],
  "polymorph_energy_mev_per_atom": 219.8,
  "e_tot_ha_per_atom": -0.09116,
  "magmom_total_mub_per_cell": 0.00
}


{
  "formula": "InHg4S6",
  "functional": "GGA-PBE",
  "state": "relaxed",
  "lattice_angstrom": [[7.526, 0.000, 2.272], [3.601, 6.730, 1.672], [0.410, -0.812, 12.240]],
  "species": ["Hg", "S", "S", "S", "S", "S", "Hg", "S", "S", "In", "S", "Hg", "Hg", "S", "Hg", "Hg", "Hg", "S", "S", "Hg", "S", "In"],
  "fractional_positions": [[0.904, 0.114, 0.154], [0.034, 0.594, 0.910], [0.248, 0.301, 0.674], [0.777, 0.801, 0.174], [0.993, 0.064, 0.951], [0.954, 0.128, 0.333], [0.210, 0.759, 0.345], [0.585, 0.628, 0.833], [0.462, 0.094, 0.410], [0.211, 0.223, 0.880], [0.429, 0.565, 0.152], [0.686, 0.259, 0.845], [0.829, 0.614, 0.654], [0.854, 0.065, 0.652], [0.194, 0.597, 0.051], [0.644, 0.723, 0.018], [0.616, 0.223, 0.518], [0.464, 0.119, 0.986], [0.992, 0.564, 0.451], [0.157, 0.097, 0.551], [0.431, 0.619, 0.486], [0.686, 0.723, 0.380]],
  "e_tot_ha_per_atom": -0.09857,
  "magmom_total_mub_per_cell": 0.00
}


{
  "formula": "In4Hg2S5",
  "functional": "GGA-PBE",
  "state": "relaxed",
  "lattice_angstrom": [[3.770, 0.000, 0.000], [0.000, 8.260, 0.000], [-1.885, -4.130, 10.054]],
  "species": ["Hg", "In", "In", "S", "In", "Hg", "S", "S", "In", "S", "S"],
  "fractional_positions": [[0.114, 0.114, 0.227], [0.000, 0.299, 0.000], [0.000, 0.701, 0.000], [0.839, 0.547, 0.678], [0.645, 0.645, 0.289], [0.886, 0.886, 0.773], [0.839, 0.131, 0.678], [0.500, 0.000, 0.000], [0.355, 0.355, 0.711], [0.161, 0.869, 0.322], [0.161, 0.453, 0.322]],
  "e_tot_ha_per_atom": -0.11008,
  "magmom_total_mub_per_cell": 0.00
}


{
  "formula": "In12Hg5S3",
  "functional": "GGA-PBE",
  "state": "relaxed",
  "lattice_angstrom": [[-10.118, 3.851, -10.692], [10.828, -8.727, -6.173], [-7.019, -7.706, 11.085]],
  "species": ["In", "S", "S", "In", "In", "Hg", "In", "In", "S", "In", "Hg", "In", "In", "Hg", "In", "In", "Hg", "In", "In", "S", "In", "In", "In", "In", "Hg", "In", "In", "S", "In", "In", "In", "In", "S", "In", "In", "Hg", "Hg", "S", "Hg", "In", "In", "In", "Hg", "Hg", "In", "In", "Hg", "In", "In", "In", "Hg", "In", "Hg", "In", "Hg", "In", "Hg", "S", "S", "Hg", "Hg", "In", "In", "In", "Hg", "Hg", "S", "In", "In", "In", "In", "In", "S", "In", "Hg", "S", "In", "In", "In", "In"],
  "fractional_positions": [[0.550, 0.720, 0.656], [0.250, 0.125, 0.375], [0.375, 0.750, 0.625], [0.450, 0.170, 0.606], [0.656, 0.436, 0.606], [0.750, 0.625, 0.375], [0.936, 0.330, 0.280], [0.220, 0.564, 0.670], [0.750, 0.875, 0.625], [0.106, 0.156, 0.436], [0.625, 0.875, 0.250], [0.220, 0.656, 0.050], [0.936, 0.606, 0.156], [0.875, 0.250, 0.625], [0.830, 0.550, 0.894], [0.720, 0.170, 0.064], [0.500, 0.000, 0.000], [0.450, 0.280, 0.344], [0.950, 0.844, 0.780], [0.375, 0.625, 0.250], [0.606, 0.936, 0.656], [0.330, 0.936, 0.780], [0.830, 0.280, 0.436], [0.950, 0.106, 0.670], [0.375, 0.250, 0.125], [0.656, 0.220, 0.550], [0.436, 0.656, 0.106], [0.625, 0.375, 0.750], [0.156, 0.050, 0.720], [0.894, 0.050, 0.830], [0.670, 0.064, 0.220], [0.720, 0.550, 0.156], [0.125, 0.875, 0.750], [0.894, 0.844, 0.564], [0.344, 0.564, 0.394], [0.625, 0.750, 0.875], [0.375, 0.125, 0.750], [0.875, 0.750, 0.125], [0.000, 0.500, 0.500], [0.064, 0.670, 0.720], [0.606, 0.670, 0.450], [0.394, 0.330, 0.550], [0.250, 0.375, 0.625], [0.500, 0.500, 0.500], [0.344, 0.780, 0.450], [0.170, 0.720, 0.564], [0.875, 0.625, 0.750], [0.050, 0.894, 0.330], [0.844, 0.950, 0.280], [0.670, 0.606, 0.950], [0.125, 0.375, 0.250], [0.050, 0.156, 0.220], [0.750, 0.125, 0.875], [0.564, 0.220, 0.170], [0.000, 0.000, 0.500], [0.436, 0.780, 0.830], [0.000, 0.500, 0.000], [0.875, 0.125, 0.250], [0.750, 0.375, 0.125], [0.500, 0.000, 0.500], [0.000, 0.000, 0.000], [0.780, 0.436, 0.330], [0.564, 0.344, 0.894], [0.280, 0.830, 0.936], [0.500, 0.500, 0.000], [0.250, 0.875, 0.125], [0.125, 0.250, 0.875], [0.780, 0.344, 0.950], [0.156, 0.106, 0.936], [0.394, 0.064, 0.344], [0.330, 0.394, 0.050], [0.170, 0.450, 0.106], [0.625, 0.250, 0.375], [0.106, 0.950, 0.170], [0.125, 0.750, 0.375], [0.250, 0.625, 0.875], [0.844, 0.894, 0.064], [0.064, 0.394, 0.844], [0.550, 0.830, 0.394], [0.280, 0.450, 0.844]],
  "e_tot_ha_per_atom": -0.08423,
  "magmom_total_mub_per_cell": 0.00
}


{
  "formula": "In3HgS",
  "functional": "GGA-PBE",
  "state": "relaxed",
  "lattice_angstrom": [[6.118, -0.347, 0.000], [-0.921, 3.651, 0.000], [0.000, 0.000, 25.088]],
  "species": ["In", "In", "Hg", "In", "Hg", "In", "In", "S", "In", "In", "S", "In", "Hg", "Hg", "In", "In", "S", "S", "In", "In"],
  "fractional_positions": [[0.736, 0.379, 0.599], [0.257, 0.622, 0.985], [0.920, 0.969, 0.698], [0.257, 0.122, 0.515], [0.920, 0.469, 0.802], [0.264, 0.621, 0.401], [0.620, 0.304, 0.312], [0.803, 0.906, 0.088], [0.380, 0.696, 0.688], [0.743, 0.378, 0.015], [0.197, 0.094, 0.912], [0.620, 0.804, 0.188], [0.080, 0.531, 0.198], [0.080, 0.031, 0.302], [0.264, 0.121, 0.099], [0.380, 0.196, 0.812], [0.197, 0.594, 0.588], [0.803, 0.406, 0.412], [0.743, 0.878, 0.485], [0.736, 0.879, 0.901]],
  "polymorph_energy_mev_per_atom": 0.0,
  "e_tot_ha_per_atom": -0.09773,
  "magmom_total_mub_per_cell": 0.00
}


{
  "formula": "InHg4S5",
  "functional": "GGA-PBE",
  "state": "relaxed",
  "lattice_angstrom": [[5.533, 0.000, 0.000], [2.767, 6.284, 0.000], [2.767, 0.000, 6.284]],
  "species": ["S", "Hg", "S", "In", "Hg", "S", "Hg", "S", "S", "Hg"],
  "fractional_positions": [[0.288, 0.797, 0.628], [0.799, 0.808, 0.597], [0.501, 0.000, 0.000], [0.001, 0.000, 0.000], [0.204, 0.192, 0.403], [0.714, 0.203, 0.372], [0.396, 0.403, 0.808], [0.916, 0.372, 0.797], [0.086, 0.628, 0.203], [0.606, 0.597, 0.192]],
  "e_tot_ha_per_atom": -0.09483,
  "magmom_total_mub_per_cell": 0.00
}


{
  "formula": "In3HgS",
  "functional": "GGA-PBE",
  "state": "relaxed",
  "lattice_angstrom": [[5.495, 0.000, 0.000], [0.000, 5.495, 0.000], [0.000, 0.000, 5.495]],
  "species": ["Hg", "S", "In", "In", "In"],
  "fractional_positions": [[0.500, 0.500, 0.500], [0.000, 0.000, 0.000], [0.000, 0.000, 0.500], [0.000, 0.500, 0.000], [0.500, 0.000, 0.000]],
  "polymorph_energy_mev_per_atom": 320.9,
  "e_tot_ha_per_atom": -0.08594,
  "magmom_total_mub_per_cell": 0.00
}


{
  "formula": "InHg2S4",
  "functional": "GGA-PBE",
  "state": "relaxed",
  "lattice_angstrom": [[-1.321, -0.716, 7.566], [2.857, -6.329, 3.831], [6.096, 0.523, 5.046]],
  "species": ["In", "Hg", "Hg", "S", "Hg", "S", "S", "In", "S", "S", "Hg", "S", "S", "S"],
  "fractional_positions": [[0.500, 0.500, 0.000], [0.120, 0.130, 0.630], [0.500, 0.500, 0.500], [0.748, 0.734, 0.234], [0.500, 0.000, 0.000], [0.252, 0.266, 0.766], [0.715, 0.266, 0.766], [0.000, 0.500, 0.000], [0.253, 0.729, 0.765], [0.747, 0.271, 0.235], [0.880, 0.870, 0.370], [0.747, 0.735, 0.771], [0.253, 0.265, 0.229], [0.285, 0.734, 0.234]],
  "e_tot_ha_per_atom": -0.10883,
  "magmom_total_mub_per_cell": 0.00
}


{
  "formula": "In4HgS2",
  "functional": "GGA-PBE",
  "state": "relaxed",
  "lattice_angstrom": [[3.829, 0.000, -0.767], [-0.076, 6.461, -0.377], [-0.445, 1.182, 7.726]],
  "species": ["S", "In", "In", "S", "In", "In", "Hg"],
  "fractional_positions": [[0.230, 0.259, 0.459], [0.144, 0.652, 0.287], [0.378, 0.914, 0.756], [0.770, 0.741, 0.541], [0.622, 0.086, 0.244], [0.856, 0.348, 0.713], [0.500, 0.500, 0.000]],
  "e_tot_ha_per_atom": -0.11127,
  "magmom_total_mub_per_cell": 0.00
}


{
  "formula": "InHg6S8",
  "functional": "GGA-PBE",
  "state": "relaxed",
  "lattice_angstrom": [[-5.434, 5.399, 0.356], [-5.345, -5.362, 1.216], [1.009, 0.614, 7.577]],
  "species": ["S", "Hg", "S", "Hg", "S", "S", "Hg", "In", "Hg", "S", "Hg", "Hg", "S", "S", "S"],
  "fractional_positions": [[0.820, 0.368, 0.588], [0.719, 0.401, 0.880], [0.632, 0.412, 0.180], [0.880, 0.719, 0.401], [0.170, 0.170, 0.170], [0.368, 0.588, 0.820], [0.599, 0.120, 0.281], [0.000, 0.000, 0.000], [0.120, 0.281, 0.599], [0.588, 0.820, 0.368], [0.281, 0.599, 0.120], [0.401, 0.880, 0.719], [0.830, 0.830, 0.830], [0.180, 0.632, 0.412], [0.412, 0.180, 0.632]],
  "e_tot_ha_per_atom": -0.09085,
  "magmom_total_mub_per_cell": 0.43
}


{
  "formula": "In3Hg3S",
  "functional": "GGA-PBE",
  "state": "relaxed",
  "lattice_angstrom": [[5.998, 0.000, 0.000], [0.000, 11.681, 0.000], [0.000, 0.000, 11.348]],
  "species": ["In", "In", "Hg", "In", "In", "Hg", "Hg", "Hg", "In", "In", "In", "In", "Hg", "Hg", "In", "Hg", "S", "Hg", "In", "Hg", "Hg", "Hg", "In", "In", "S", "Hg", "S", "S"],
  "fractional_positions": [[0.000, 0.119, 0.886], [0.500, 0.574, 0.132], [0.000, 0.583, 0.215], [0.500, 0.619, 0.614], [0.000, 0.074, 0.368], [0.500, 0.705, 0.881], [0.500, 0.853, 0.129], [0.000, 0.647, 0.629], [0.500, 0.426, 0.868], [0.500, 0.381, 0.386], [0.000, 0.344, 0.066], [0.500, 0.844, 0.434], [0.500, 0.917, 0.715], [0.500, 0.083, 0.285], [0.000, 0.926, 0.632], [0.000, 0.205, 0.619], [0.500, 0.390, 0.629], [0.500, 0.147, 0.871], [0.000, 0.656, 0.934], [0.000, 0.795, 0.381], [0.000, 0.417, 0.785], [0.000, 0.353, 0.371], [0.500, 0.156, 0.566], [0.000, 0.881, 0.114], [0.000, 0.890, 0.871], [0.500, 0.295, 0.119], [0.500, 0.610, 0.371], [0.000, 0.110, 0.129]],
  "e_tot_ha_per_atom": -0.07096,
  "magmom_total_mub_per_cell": 0.00
}


{
  "formula": "In2HgS3",
  "functional": "GGA-PBE",
  "state": "relaxed",
  "lattice_angstrom": [[6.865, 0.000, 3.134], [2.717, 6.305, 3.134], [0.769, 0.506, 7.392]],
  "species": ["In", "S", "Hg", "S", "S", "S", "In", "Hg", "S", "S", "In", "In"],
  "fractional_positions": [[0.000, 0.000, 0.000], [0.249, 0.738, 0.763], [0.204, 0.204, 0.388], [0.738, 0.249, 0.763], [0.751, 0.262, 0.237], [0.262, 0.751, 0.237], [0.500, 0.000, 0.000], [0.796, 0.796, 0.612], [0.249, 0.249, 0.763], [0.751, 0.751, 0.237], [0.000, 0.500, 0.000], [0.500, 0.500, 0.000]],
  "polymorph_energy_mev_per_atom": 108.1,
  "e_tot_ha_per_atom": -0.12209,
  "magmom_total_mub_per_cell": 0.00
}


{
  "formula": "InHgS",
  "functional": "GGA-PBE",
  "state": "relaxed",
  "lattice_angstrom": [[3.707, 0.559, 1.212], [-0.948, 5.243, 0.484], [2.809, 1.669, 9.916]],
  "species": ["In", "S", "In", "Hg", "Hg", "S"],
  "fractional_positions": [[0.993, 0.045, 0.171], [0.541, 0.744, 0.139], [0.007, 0.955, 0.829], [0.338, 0.652, 0.609], [0.662, 0.348, 0.391], [0.459, 0.256, 0.861]],
  "polymorph_energy_mev_per_atom": 29.8,
  "e_tot_ha_per_atom": -0.09814,
  "magmom_total_mub_per_cell": 0.00
}


{
  "formula": "InHgS",
  "functional": "GGA-PBE",
  "state": "relaxed",
  "lattice_angstrom": [[3.954, 0.000, 0.000], [-1.977, 3.424, 0.000], [0.000, 0.000, 5.531]],
  "species": ["S", "Hg", "In"],
  "fractional_positions": [[0.333, 0.667, 0.622], [0.000, 0.000, 0.006], [0.667, 0.333, 0.372]],
  "polymorph_energy_mev_per_atom": 70.3,
  "e_tot_ha_per_atom": -0.09665,
  "magmom_total_mub_per_cell": 0.00
}